Entry from Alexandria via LeMat-Bulk: an optimized crystal structure of BaCa2YNi (PBE).

Size of the total moment = 0.00 μB per cell
Energy of formation from the pure elements = -0.043 eV per atom
Energy = -3.68 eV/atom
Crystal system = tetragonal
V = 35.69 Å³/atom

Geometry as CIF:
```
data_BaCa2YNi
_chemical_formula_sum 'Ba1 Ca2 Y1 Ni1'
_cell_length_a 5.7746
_cell_length_b 5.7746
_cell_length_c 5.3513
_cell_angle_alpha 90.00
_cell_angle_beta 90.00
_cell_angle_gamma 90.00
_symmetry_space_group_name_H-M 'P 1'
_symmetry_Int_Tables_number 1
_symmetry_space_group_name_Hall 'P 1'
loop_
_atom_site_label
_atom_site_type_symbol
_atom_site_fract_x
_atom_site_fract_y
_atom_site_fract_z
Ba1 Ba 0.0000 0.0000 0.0000
Ca1 Ca 0.0000 0.5000 0.5000
Ca2 Ca 0.5000 0.0000 0.5000
Y1 Y 0.5000 0.5000 0.0000
Ni1 Ni 0.5000 0.5000 0.5000
```

---

Entry from Alexandria via LeMat-Bulk: an optimized crystal structure of BaCaZnNi (PBE).

Size of the total moment = 0.00 μB per cell
Energy of formation from the pure elements = -0.157 eV per atom
Energy = -2.90 eV/atom
Crystal system = trigonal
V = 31.22 Å³/atom

Geometry as CIF:
```
data_BaCaZnNi
_chemical_formula_sum 'Ba1 Ca1 Zn1 Ni1'
_cell_length_a 8.1751
_cell_length_b 8.1751
_cell_length_c 8.1751
_cell_angle_alpha 30.51
_cell_angle_beta 30.51
_cell_angle_gamma 30.51
_symmetry_space_group_name_H-M 'P 1'
_symmetry_Int_Tables_number 1
_symmetry_space_group_name_Hall 'P 1'
loop_
_atom_site_label
_atom_site_type_symbol
_atom_site_fract_x
_atom_site_fract_y
_atom_site_fract_z
Ba1 Ba 0.0000 0.0000 0.0000
Ca1 Ca 0.8272 0.8272 0.8272
Zn1 Zn 0.2366 0.2366 0.2366
Ni1 Ni 0.5708 0.5708 0.5708
```

---

Entry from Alexandria via LeMat-Bulk: an optimized crystal structure of BaCaZn2Ni (PBE).

Size of the total moment = 0.00 μB per cell
Energy of formation from the pure elements = -0.085 eV per atom
Energy = -2.54 eV/atom
Crystal system = tetragonal
V = 25.12 Å³/atom

Geometry as CIF:
```
data_BaCaZn2Ni
_chemical_formula_sum 'Ba1 Ca1 Zn2 Ni1'
_cell_length_a 4.9824
_cell_length_b 4.9824
_cell_length_c 5.0602
_cell_angle_alpha 90.00
_cell_angle_beta 90.00
_cell_angle_gamma 90.00
_symmetry_space_group_name_H-M 'P 1'
_symmetry_Int_Tables_number 1
_symmetry_space_group_name_Hall 'P 1'
loop_
_atom_site_label
_atom_site_type_symbol
_atom_site_fract_x
_atom_site_fract_y
_atom_site_fract_z
Ba1 Ba 0.0000 0.0000 0.0000
Ca1 Ca 0.5000 0.5000 0.0000
Zn1 Zn 0.0000 0.5000 0.5000
Zn2 Zn 0.5000 0.0000 0.5000
Ni1 Ni 0.5000 0.5000 0.5000
```

---

Entry from Alexandria via LeMat-Bulk: an optimized crystal structure of BaCa2Np2O7 (PBE).

Size of the total moment = 6.00 μB per cell
Energy = -8.46 eV/atom
Crystal system = orthorhombic
V = 16.49 Å³/atom
Energy relative to the elements, uncorrected = -2.922 eV/atom

Geometry as CIF:
```
data_BaCa2Np2O7
_chemical_formula_sum 'Ba1 Ca2 Np2 O7'
_cell_length_a 10.1640
_cell_length_b 10.1640
_cell_length_c 10.1640
_cell_angle_alpha 154.25
_cell_angle_beta 36.73
_cell_angle_gamma 154.25
_symmetry_space_group_name_H-M 'P 1'
_symmetry_Int_Tables_number 1
_symmetry_space_group_name_Hall 'P 1'
loop_
_atom_site_label
_atom_site_type_symbol
_atom_site_fract_x
_atom_site_fract_y
_atom_site_fract_z
Ba1 Ba 0.0000 0.0000 0.0000
Ca1 Ca 0.2528 0.5028 0.7500
Ca2 Ca 0.7528 0.5028 0.2500
Np1 Np 0.3910 0.0027 0.3883
Np2 Np 0.6144 0.0027 0.6117
O1 O 0.1175 0.5029 0.6146
O2 O 0.2746 0.0028 0.2719
O3 O 0.3885 0.5031 0.8853
O4 O 0.5063 0.0063 0.5000
O5 O 0.6178 0.5031 0.1147
O6 O 0.7309 0.0028 0.7281
O7 O 0.8882 0.5029 0.3854
```

---

Entry from Alexandria via LeMat-Bulk: an optimized crystal structure of Ba4CaNp3O12 (PBE).

Size of the total moment = 7.00 μB per cell
Energy = -8.39 eV/atom
Crystal system = cubic
V = 17.07 Å³/atom
Energy relative to the elements, uncorrected = -2.992 eV/atom

Geometry as CIF:
```
data_Ba4CaNp3O12
_chemical_formula_sum 'Ba4 Ca1 Np3 O12'
_cell_length_a 7.6255
_cell_length_b 7.6255
_cell_length_c 7.6255
_cell_angle_alpha 109.47
_cell_angle_beta 109.47
_cell_angle_gamma 109.47
_symmetry_space_group_name_H-M 'P 1'
_symmetry_Int_Tables_number 1
_symmetry_space_group_name_Hall 'P 1'
loop_
_atom_site_label
_atom_site_type_symbol
_atom_site_fract_x
_atom_site_fract_y
_atom_site_fract_z
Ba1 Ba 0.0000 0.0000 0.5000
Ba2 Ba 0.0000 0.5000 0.0000
Ba3 Ba 0.5000 0.0000 0.0000
Ba4 Ba 0.5000 0.5000 0.5000
Ca1 Ca 0.0000 0.0000 0.0000
Np1 Np 0.0000 0.5000 0.5000
Np2 Np 0.5000 0.0000 0.5000
Np3 Np 0.5000 0.5000 0.0000
O1 O 0.0000 0.2640 0.2640
O2 O 0.0000 0.7360 0.7360
O3 O 0.2500 0.5000 0.7500
O4 O 0.2500 0.7500 0.5000
O5 O 0.2640 0.0000 0.2640
O6 O 0.2640 0.2640 0.0000
O7 O 0.5000 0.2500 0.7500
O8 O 0.5000 0.7500 0.2500
O9 O 0.7360 0.0000 0.7360
O10 O 0.7360 0.7360 0.0000
O11 O 0.7500 0.2500 0.5000
O12 O 0.7500 0.5000 0.2500
```

---

Entry from Alexandria via LeMat-Bulk: an optimized crystal structure of BaCaNp2O8 (PBE).

Size of the total moment = 2.00 μB per cell
Energy = -8.49 eV/atom
Crystal system = tetragonal
V = 14.34 Å³/atom
Energy relative to the elements, uncorrected = -2.701 eV/atom

Geometry as CIF:
```
data_BaCaNp2O8
_chemical_formula_sum 'Ba1 Ca1 Np2 O8'
_cell_length_a 6.7095
_cell_length_b 6.7095
_cell_length_c 6.7095
_cell_angle_alpha 130.21
_cell_angle_beta 130.21
_cell_angle_gamma 73.08
_symmetry_space_group_name_H-M 'P 1'
_symmetry_Int_Tables_number 1
_symmetry_space_group_name_Hall 'P 1'
loop_
_atom_site_label
_atom_site_type_symbol
_atom_site_fract_x
_atom_site_fract_y
_atom_site_fract_z
Ba1 Ba 0.0000 0.0000 0.0000
Ca1 Ca 0.2500 0.7500 0.5000
Np1 Np 0.5000 0.5000 0.0000
Np2 Np 0.7500 0.2500 0.5000
O1 O 0.0834 0.1442 0.5226
O2 O 0.1859 0.6089 0.0141
O3 O 0.3911 0.4053 0.5770
O4 O 0.4392 0.9166 0.0608
O5 O 0.5947 0.1718 0.9859
O6 O 0.6217 0.5608 0.4774
O7 O 0.8282 0.8141 0.4230
O8 O 0.8558 0.3783 0.9392
```

---

Entry from Alexandria via LeMat-Bulk: an optimized crystal structure of Ba3Ca2NpO8 (PBE).

Size of the total moment = 1.00 μB per cell
Energy = -7.17 eV/atom
Crystal system = trigonal
V = 18.96 Å³/atom
Energy relative to the elements, uncorrected = -2.710 eV/atom

Geometry as CIF:
```
data_Ba3Ca2NpO8
_chemical_formula_sum 'Ba3 Ca2 Np1 O8'
_cell_length_a 6.1980
_cell_length_b 6.1980
_cell_length_c 7.9786
_cell_angle_alpha 90.00
_cell_angle_beta 90.00
_cell_angle_gamma 120.00
_symmetry_space_group_name_H-M 'P 1'
_symmetry_Int_Tables_number 1
_symmetry_space_group_name_Hall 'P 1'
loop_
_atom_site_label
_atom_site_type_symbol
_atom_site_fract_x
_atom_site_fract_y
_atom_site_fract_z
Ba1 Ba 0.0000 0.0000 0.0000
Ba2 Ba 0.3333 0.6667 0.6330
Ba3 Ba 0.6667 0.3333 0.3670
Ca1 Ca 0.3333 0.6667 0.1921
Ca2 Ca 0.6667 0.3333 0.8079
Np1 Np 0.0000 0.0000 0.5000
O1 O 0.1549 0.3098 0.3436
O2 O 0.1549 0.8451 0.3436
O3 O 0.3098 0.1549 0.6564
O4 O 0.3333 0.6667 0.9297
O5 O 0.6667 0.3333 0.0703
O6 O 0.6902 0.8451 0.3436
O7 O 0.8451 0.1549 0.6564
O8 O 0.8451 0.6902 0.6564
```

---

Entry from Alexandria via LeMat-Bulk: an optimized crystal structure of BaCaNpO6 (PBE).

Size of the total moment = 2.14 μB per cell
Energy = -7.78 eV/atom
Crystal system = trigonal
V = 18.27 Å³/atom
Energy relative to the elements, uncorrected = -2.602 eV/atom

Geometry as CIF:
```
data_BaCaNpO6
_chemical_formula_sum 'Ba2 Ca2 Np2 O12'
_cell_length_a 5.9228
_cell_length_b 5.9228
_cell_length_c 10.8221
_cell_angle_alpha 90.00
_cell_angle_beta 90.00
_cell_angle_gamma 120.00
_symmetry_space_group_name_H-M 'P 1'
_symmetry_Int_Tables_number 1
_symmetry_space_group_name_Hall 'P 1'
loop_
_atom_site_label
_atom_site_type_symbol
_atom_site_fract_x
_atom_site_fract_y
_atom_site_fract_z
Ba1 Ba 0.0000 0.0000 0.0000
Ba2 Ba 0.0000 0.0000 0.5000
Ca1 Ca 0.3333 0.6667 0.2500
Ca2 Ca 0.6667 0.3333 0.7500
Np1 Np 0.3333 0.6667 0.7500
Np2 Np 0.6667 0.3333 0.2500
O1 O 0.0433 0.3930 0.6485
O2 O 0.0433 0.6503 0.8515
O3 O 0.3497 0.3930 0.8515
O4 O 0.3497 0.9567 0.6485
O5 O 0.3930 0.0433 0.1485
O6 O 0.3930 0.3497 0.3515
O7 O 0.6070 0.6503 0.6485
O8 O 0.6070 0.9567 0.8515
O9 O 0.6503 0.0433 0.3515
O10 O 0.6503 0.6070 0.1485
O11 O 0.9567 0.3497 0.1485
O12 O 0.9567 0.6070 0.3515
```

---

Entry from Alexandria via LeMat-Bulk: an optimized crystal structure of BaCa2NpO6 (PBE).

Size of the total moment = 1.00 μB per cell
Energy = -7.81 eV/atom
Crystal system = trigonal
V = 16.61 Å³/atom
Energy relative to the elements, uncorrected = -2.953 eV/atom

Geometry as CIF:
```
data_BaCa2NpO6
_chemical_formula_sum 'Ba1 Ca2 Np1 O6'
_cell_length_a 6.3387
_cell_length_b 6.3387
_cell_length_c 6.3387
_cell_angle_alpha 56.63
_cell_angle_beta 56.63
_cell_angle_gamma 56.63
_symmetry_space_group_name_H-M 'P 1'
_symmetry_Int_Tables_number 1
_symmetry_space_group_name_Hall 'P 1'
loop_
_atom_site_label
_atom_site_type_symbol
_atom_site_fract_x
_atom_site_fract_y
_atom_site_fract_z
Ba1 Ba 0.0000 0.0000 0.0000
Ca1 Ca 0.2642 0.2642 0.2642
Ca2 Ca 0.7816 0.7816 0.7816
Np1 Np 0.4721 0.4721 0.4721
O1 O 0.1053 0.6293 0.4286
O2 O 0.2235 0.5469 0.8383
O3 O 0.4286 0.1053 0.6293
O4 O 0.5469 0.8383 0.2235
O5 O 0.6293 0.4286 0.1053
O6 O 0.8383 0.2235 0.5469
```

---

Entry from Alexandria via LeMat-Bulk: an optimized crystal structure of Ba2CaNpS6 (PBE).

Size of the total moment = 2.00 μB per cell
Energy = -6.04 eV/atom
Crystal system = monoclinic
V = 27.83 Å³/atom
Energy relative to the elements, uncorrected = -1.681 eV/atom

Geometry as CIF:
```
data_Ba2CaNpS6
_chemical_formula_sum 'Ba4 Ca2 Np2 S12'
_cell_length_a 7.1892
_cell_length_b 7.4971
_cell_length_c 12.5809
_cell_angle_alpha 90.00
_cell_angle_beta 124.82
_cell_angle_gamma 90.00
_symmetry_space_group_name_H-M 'P 1'
_symmetry_Int_Tables_number 1
_symmetry_space_group_name_Hall 'P 1'
loop_
_atom_site_label
_atom_site_type_symbol
_atom_site_fract_x
_atom_site_fract_y
_atom_site_fract_z
Ba1 Ba 0.2344 0.0636 0.2512
Ba2 Ba 0.2344 0.4364 0.7512
Ba3 Ba 0.7656 0.5636 0.2488
Ba4 Ba 0.7656 0.9364 0.7488
Ca1 Ca 0.5000 0.0000 0.0000
Ca2 Ca 0.5000 0.5000 0.5000
Np1 Np 0.0000 0.0000 0.5000
Np2 Np 0.0000 0.5000 0.0000
S1 S 0.1434 0.2167 0.9548
S2 S 0.1434 0.2833 0.4548
S3 S 0.2439 0.6910 0.9581
S4 S 0.2439 0.8090 0.4581
S5 S 0.3213 0.0196 0.7382
S6 S 0.3213 0.4804 0.2382
S7 S 0.6787 0.5196 0.7618
S8 S 0.6787 0.9804 0.2618
S9 S 0.7561 0.1910 0.5419
S10 S 0.7561 0.3090 0.0419
S11 S 0.8566 0.7167 0.5452
S12 S 0.8566 0.7833 0.0452
```

---

Entry from Alexandria via LeMat-Bulk: an optimized crystal structure of BaCa2O (PBE).

Size of the total moment = 0.00 μB per cell
Energy = -3.93 eV/atom
Crystal system = trigonal
V = 28.68 Å³/atom
Energy relative to the elements, uncorrected = -1.212 eV/atom

Geometry as CIF:
```
data_BaCa2O
_chemical_formula_sum 'Ba1 Ca2 O1'
_cell_length_a 10.3315
_cell_length_b 10.3315
_cell_length_c 10.3315
_cell_angle_alpha 20.17
_cell_angle_beta 20.17
_cell_angle_gamma 20.17
_symmetry_space_group_name_H-M 'P 1'
_symmetry_Int_Tables_number 1
_symmetry_space_group_name_Hall 'P 1'
loop_
_atom_site_label
_atom_site_type_symbol
_atom_site_fract_x
_atom_site_fract_y
_atom_site_fract_z
Ba1 Ba 0.0000 0.0000 0.0000
Ca1 Ca 0.1210 0.1210 0.1210
Ca2 Ca 0.8790 0.8790 0.8790
O1 O 0.5000 0.5000 0.5000
```

---

Look up the V of the fourth one.
16.49 Å³/atom